[1]
PBE-GGA CaBeW2, relaxed; DOS(E_F) = 2.62 states/eV/f.u.; space-group type = Immm (71); formation enthalpy at 0 K = 562 meV/atom; raw total energy = -7.346 eV per atom
1.0
-2.9325 1.7659 4.9202
-2.7941 -0.8792 5.2294
2.8317 0.5883 3.7652
W Ca Be
2 1 1
Direct
0.0507 0.0507 0.9494
0.4493 0.4493 0.5506
0.2500 0.2500 0.2500
0.7500 0.7500 0.7500


[2]
PBE-GGA CaBe2W, relaxed; DOS(E_F) = 3.72 states/eV/f.u.; space-group type = F-43m (216); formation enthalpy at 0 K = 1239 meV/atom; energy above the most stable polymorph in this dataset = 0.899 eV per atom; raw total energy = -4.363 eV per atom
1.0
-1.2230 -1.2492 4.1294
-1.5229 -4.1545 0.7269
2.5008 -2.9365 2.2871
Be Ca W
2 1 1
Direct
0.0000 0.0000 0.0000
0.2500 0.2500 0.2500
0.5000 0.5000 0.5000
0.7500 0.7500 0.7500